## w
A relaxed NaIF3 crystal. Source: Alexandria via LeMat-Bulk, functional PBE.

The structure belongs to space group Pm-3m (No. 221); the cell edges are 4.258, 4.258 and 4.258 Å and the angles 90.00°, 90.00° and 90.00°. The asymmetric unit holds Na at (0.000, 0.000, 0.000), I at (0.500, 0.500, 0.500) and F at (0.000, 0.000, 0.500).

The calculated density is 4450 kg/m3.

## x
A relaxed NaIF3 crystal. Source: Alexandria via LeMat-Bulk, functional PBE.

The structure belongs to space group Pm-3m (No. 221); the cell edges are 4.813, 4.813 and 4.813 Å and the angles 90.00°, 90.00° and 90.00°. The asymmetric unit holds Na at (0.000, 0.000, 0.000), I at (0.500, 0.500, 0.500) and F at (0.000, 0.500, 0.500).

The calculated density is 3081 kg/m3.

What should be chosen as the most stable of them? Choose x.

## w
A relaxed NaSb2IF crystal. Source: Alexandria via LeMat-Bulk, functional PBE.

The structure belongs to space group P4/mmm (No. 123); the cell edges are 5.445, 5.445 and 5.519 Å and the angles 90.00°, 90.00° and 90.00°. The asymmetric unit holds Na at (0.000, 0.000, 0.000), Sb at (0.000, 0.500, 0.000), I at (0.000, 0.000, 0.500) and F at (0.500, 0.500, 0.500).

The calculated density is 4185 kg/m3.

## x
A relaxed NaSb2IF crystal. Source: Alexandria via LeMat-Bulk, functional PBE.

The structure belongs to space group P4/mmm (No. 123); the cell edges are 4.695, 4.695 and 6.924 Å and the angles 90.00°, 90.00° and 90.00°. The asymmetric unit holds Na at (0.000, 0.000, 0.000), Sb at (0.000, 0.500, 0.500), I at (0.500, 0.500, 0.000) and F at (0.500, 0.500, 0.500).

The calculated density is 4487 kg/m3.

What should be chosen as the most stable of them? Choose x.

## w
A relaxed NaZnI2F crystal. Source: Alexandria via LeMat-Bulk, functional PBE.

The structure belongs to space group P4/mmm (No. 123); the cell edges are 5.750, 5.750 and 4.047 Å and the angles 90.00°, 90.00° and 90.00°. The asymmetric unit holds Na at (0.000, 0.000, 0.000), Zn at (0.500, 0.500, 0.500), I at (0.000, 0.500, 0.500) and F at (0.500, 0.500, 0.000).

The calculated density is 4483 kg/m3.

## x
A relaxed NaZnI2F crystal. Source: Alexandria via LeMat-Bulk, functional PBE.

The structure belongs to space group P4/mmm (No. 123); the cell edges are 5.784, 5.784 and 4.147 Å and the angles 90.00°, 90.00° and 90.00°. The asymmetric unit holds Na at (0.000, 0.000, 0.000), Zn at (0.500, 0.500, 0.000), I at (0.000, 0.500, 0.500) and F at (0.000, 0.000, 0.500).

The calculated density is 4323 kg/m3.

What should be chosen as the most stable of them? Choose w.

## w
A relaxed NbI2F crystal. Source: Alexandria via LeMat-Bulk, functional PBE.

The structure belongs to space group I-42d (No. 122); the cell edges are 7.191, 7.191 and 9.065 Å and the angles 90.00°, 90.00° and 90.00°. The asymmetric unit holds Nb at (0.000, 0.000, 0.000), I at (0.238, 0.250, 0.125) and F at (0.000, 0.000, 0.500).

The calculated density is 5182 kg/m3.

## x
A relaxed NbI2F crystal. Source: Alexandria via LeMat-Bulk, functional PBE.

The structure belongs to space group Fm-3m (No. 225); the cell edges are 6.997, 6.997 and 6.997 Å and the angles 90.00°, 90.00° and 90.00°. The asymmetric unit holds Nb at (0.000, 0.000, 0.000), I at (0.250, 0.250, 0.250) and F at (0.000, 0.000, 0.500).

The calculated density is 7090 kg/m3.

## y
A relaxed NbI2F crystal. Source: Alexandria via LeMat-Bulk, functional PBE.

The structure belongs to space group P-1 (No. 2); the cell edges are 3.765, 4.197 and 8.661 Å and the angles 89.22°, 77.51° and 90.00°. The asymmetric unit holds Nb at (0.000, 0.000, 0.000), I at (0.375, 0.993, 0.252) and F at (0.000, 0.500, 0.000).

The calculated density is 4546 kg/m3.

What should be chosen as the most stable of them? Choose y.

## w
A relaxed Nb2IF crystal. Source: Alexandria via LeMat-Bulk, functional PBE.

The structure belongs to space group I-42d (No. 122); the cell edges are 4.388, 4.388 and 16.806 Å and the angles 90.00°, 90.00° and 90.00°. The asymmetric unit holds Nb at (0.164, 0.250, 0.125), I at (0.000, 0.000, 0.500) and F at (0.000, 0.000, 0.000).

The calculated density is 6810 kg/m3.

## x
A relaxed Nb2IF crystal. Source: Alexandria via LeMat-Bulk, functional PBE.

The structure belongs to space group Fm-3m (No. 225); the cell edges are 6.527, 6.527 and 6.527 Å and the angles 90.00°, 90.00° and 90.00°. The asymmetric unit holds Nb at (0.250, 0.250, 0.250), I at (0.000, 0.000, 0.000) and F at (0.000, 0.000, 0.500).

The calculated density is 7923 kg/m3.

What should be chosen as the most stable of them? Choose w.

## w
A relaxed NbI3F crystal. Source: Alexandria via LeMat-Bulk, functional PBE.

The structure belongs to space group Pm-3m (No. 221); the cell edges are 5.203, 5.203 and 5.203 Å and the angles 90.00°, 90.00° and 90.00°. The asymmetric unit holds Nb at (0.000, 0.000, 0.000), I at (0.000, 0.500, 0.500) and F at (0.500, 0.500, 0.500).

The calculated density is 5806 kg/m3.

## x
A relaxed NbI3F crystal. Source: Alexandria via LeMat-Bulk, functional PBE.

The structure belongs to space group Pm-3m (No. 221); the cell edges are 5.484, 5.484 and 5.484 Å and the angles 90.00°, 90.00° and 90.00°. The asymmetric unit holds Nb at (0.000, 0.000, 0.000), I at (0.000, 0.000, 0.500) and F at (0.500, 0.500, 0.500).

The calculated density is 4960 kg/m3.

What should be chosen as the most stable of them? Choose x.

## w
A relaxed NbIOF2 crystal. Source: Alexandria via LeMat-Bulk, functional PBE.

The structure belongs to space group P4/mmm (No. 123); the cell edges are 5.005, 5.005 and 4.007 Å and the angles 90.00°, 90.00° and 90.00°. The asymmetric unit holds Nb at (0.000, 0.000, 0.000), I at (0.500, 0.500, 0.500), O at (0.500, 0.500, 0.000) and F at (0.000, 0.500, 0.500).

The calculated density is 4531 kg/m3.

## x
A relaxed NbIOF2 crystal. Source: Alexandria via LeMat-Bulk, functional PBE.

The structure belongs to space group P4/mmm (No. 123); the cell edges are 4.423, 4.423 and 3.971 Å and the angles 90.00°, 90.00° and 90.00°. The asymmetric unit holds Nb at (0.000, 0.000, 0.000), I at (0.500, 0.500, 0.500), O at (0.000, 0.000, 0.500) and F at (0.000, 0.500, 0.000).

The calculated density is 5852 kg/m3.

What should be chosen as the most stable of them? Choose x.

## w
A relaxed NbI2OF crystal. Source: Alexandria via LeMat-Bulk, functional PBE.

The structure belongs to space group P4/mmm (No. 123); the cell edges are 5.229, 5.229 and 3.547 Å and the angles 90.00°, 90.00° and 90.00°. The asymmetric unit holds Nb at (0.000, 0.000, 0.000), I at (0.000, 0.500, 0.500), O at (0.500, 0.500, 0.000) and F at (0.500, 0.500, 0.500).

The calculated density is 6535 kg/m3.

## x
A relaxed NbI2OF crystal. Source: Alexandria via LeMat-Bulk, functional PBE.

The structure belongs to space group P4/mmm (No. 123); the cell edges are 5.523, 5.523 and 3.885 Å and the angles 90.00°, 90.00° and 90.00°. The asymmetric unit holds Nb at (0.000, 0.000, 0.000), I at (0.000, 0.500, 0.000), O at (0.000, 0.000, 0.500) and F at (0.500, 0.500, 0.500).

The calculated density is 5348 kg/m3.

What should be chosen as the most stable of them? Choose x.

## w
A relaxed NbSbI2F crystal. Source: Alexandria via LeMat-Bulk, functional PBE.

The structure belongs to space group P4/mmm (No. 123); the cell edges are 5.430, 5.430 and 5.456 Å and the angles 90.00°, 90.00° and 90.00°. The asymmetric unit holds Nb at (0.000, 0.000, 0.000), Sb at (0.000, 0.000, 0.500), I at (0.000, 0.500, 0.000) and F at (0.500, 0.500, 0.500).

The calculated density is 5033 kg/m3.

## x
A relaxed NbSbI2F crystal. Source: Alexandria via LeMat-Bulk, functional PBE.

The structure belongs to space group P4/mmm (No. 123); the cell edges are 5.697, 5.697 and 4.229 Å and the angles 90.00°, 90.00° and 90.00°. The asymmetric unit holds Nb at (0.000, 0.000, 0.000), Sb at (0.500, 0.500, 0.000), I at (0.000, 0.500, 0.500) and F at (0.500, 0.500, 0.500).

The calculated density is 5896 kg/m3.

What should be chosen as the most stable of them? Choose w.

## w
A relaxed NbSb2IF crystal. Source: Alexandria via LeMat-Bulk, functional PBE.

The structure belongs to space group P4/mmm (No. 123); the cell edges are 4.646, 4.646 and 5.662 Å and the angles 90.00°, 90.00° and 90.00°. The asymmetric unit holds Nb at (0.000, 0.000, 0.000), Sb at (0.000, 0.500, 0.500), I at (0.500, 0.500, 0.000) and F at (0.500, 0.500, 0.500).

The calculated density is 6553 kg/m3.

## x
A relaxed NbSb2IF crystal. Source: Alexandria via LeMat-Bulk, functional PBE.

The structure belongs to space group P4/mmm (No. 123); the cell edges are 5.342, 5.342 and 5.447 Å and the angles 90.00°, 90.00° and 90.00°. The asymmetric unit holds Nb at (0.000, 0.000, 0.000), Sb at (0.000, 0.500, 0.000), I at (0.000, 0.000, 0.500) and F at (0.500, 0.500, 0.500).

The calculated density is 5154 kg/m3.

What should be chosen as the most stable of them? Choose x.

## w
A relaxed NbTe2IF crystal. Source: Alexandria via LeMat-Bulk, functional PBE.

The structure belongs to space group P4/mmm (No. 123); the cell edges are 4.691, 4.691 and 5.940 Å and the angles 90.00°, 90.00° and 90.00°. The asymmetric unit holds Nb at (0.000, 0.000, 0.000), Te at (0.000, 0.500, 0.500), I at (0.500, 0.500, 0.000) and F at (0.500, 0.500, 0.500).

The calculated density is 6277 kg/m3.

## x
A relaxed NbTe2IF crystal. Source: Alexandria via LeMat-Bulk, functional PBE.

The structure belongs to space group P4/mmm (No. 123); the cell edges are 5.346, 5.346 and 5.531 Å and the angles 90.00°, 90.00° and 90.00°. The asymmetric unit holds Nb at (0.000, 0.000, 0.000), Te at (0.000, 0.500, 0.000), I at (0.000, 0.000, 0.500) and F at (0.500, 0.500, 0.500).

The calculated density is 5191 kg/m3.

What should be chosen as the most stable of them? Choose x.

## w
A relaxed NdIF2 crystal. Source: Alexandria via LeMat-Bulk, functional PBE.

The structure belongs to space group Cmcm (No. 63); the cell edges are 3.996, 11.935 and 7.314 Å and the angles 90.00°, 90.00° and 90.00°. The asymmetric unit holds Nd at (0.000, 0.241, 0.250), I at (0.000, 0.043, 0.750) and F at (0.000, 0.303, 0.572).

The calculated density is 5887 kg/m3.

## x
A relaxed NdIF2 crystal. Source: Alexandria via LeMat-Bulk, functional PBE.

The structure belongs to space group R-3m (No. 166, hexagonal axes); the cell edges are 4.1190, 4.1190 and 17.0629 Å and the angles 90.00°, 90.00° and 120.00°. The asymmetric unit holds Nd at (0.0000, 0.0000, 0.0000), I at (0.0000, 0.0000, 0.5000) and F at (0.0000, 0.0000, 0.3061).

The calculated density is 6143 kg/m3.

What should be chosen as the most stable of them? Choose w.